PmCrIrO6 after structural relaxation. Source: Alexandria via LeMat-Bulk, functional PBE+U.

Computed properties:
density of states at the Fermi level	1.413	states/eV/cell
DFT total energy	-0.27378	Ha/atom

```
data_PmCrIrO6
_space_group_name_H-M_alt 'P 3 1 2'
_space_group_IT_number 149
_cell_length_a 5.1906
_cell_length_b 5.1906
_cell_length_c 5.0481
_cell_angle_alpha 90.00
_cell_angle_beta 90.00
_cell_angle_gamma 120.00
loop_
_space_group_symop_operation_xyz
'x,y,z'
'-y,x-y,z'
'-x+y,-x,z'
'-y,-x,-z'
'-x+y,y,-z'
'x,x-y,-z'
loop_
_atom_site_label
_atom_site_fract_x
_atom_site_fract_y
_atom_site_fract_z
Pm1 0.0000 0.0000 0.0000
Cr1 0.3333 0.6667 0.5000
Ir1 0.6667 0.3333 0.5000
O1 0.3679 0.0055 0.7145
```